First-principles (PBE-GGA) data for an optimized crystal structure of Ac2Ge2MoN6, as listed in Alexandria via LeMat-Bulk.

Output
Uncorrected formation energy   -0.3600 eV per atom
VASP energy   -7.47 eV/atom
Magnetization   0.000 μB per cell
SG   R-3m (166)

Lattice parameters (Å, degrees): 5.901 5.901 6.418 62.63 62.63 60.00
Element x y z (fractional)
N 0.766 0.233 0.767
Ge 0.571 0.571 0.286
Mo 0.000 0.000 0.000
N 0.233 0.233 0.767
Ac 0.219 0.219 0.343
N 0.234 0.767 0.233
N 0.233 0.766 0.767
N 0.767 0.767 0.233
N 0.767 0.234 0.233
Ge 0.429 0.429 0.714
Ac 0.781 0.781 0.657

=====

First-principles (PBE-GGA) data for an optimized crystal structure of LaRu2, as listed in Alexandria via LeMat-Bulk.

Output
VASP energy   -7.62 eV/atom
Magnetization   0.000 μB per cell
SG   C2/m (12)

Lattice parameters (Å, degrees): 5.237 5.237 8.125 71.67 71.67 32.68
Element x y z (fractional)
Ru 0.063 0.063 0.764
Ru 0.937 0.937 0.236
Ru 0.366 0.366 0.003
La 0.342 0.342 0.641
La 0.658 0.658 0.359
Ru 0.634 0.634 0.997

=====

First-principles (PBE-GGA) data for an optimized crystal structure of FeTeRu2, as listed in Alexandria via LeMat-Bulk.

Output
Uncorrected formation energy   0.4098 eV per atom
VASP energy   -7.13 eV/atom
Magnetization   4.119 μB per cell
SG   Imm2 (44)

Lattice parameters (Å, degrees): 5.239 5.239 5.239 144.72 130.93 61.88
Each line ends with the local moment (μB).
Element x y z (fractional)
Te 0.503 0.503 0.000  0.00
Ru 0.265 0.765 0.500  0.73
Fe 0.745 0.245 0.500  2.76
Ru 0.987 0.987 0.000  0.58

=====

First-principles (PBE-GGA) data for an optimized crystal structure of TaFeH2Br, as listed in Alexandria via LeMat-Bulk.

Output
VASP energy   -4.75 eV/atom
Magnetization   0.000 μB per cell
SG   P4/mmm (123)

Lattice parameters (Å, degrees): 3.578 4.546 3.578 90.00 90.00 90.00
Element x y z (fractional)
Br 0.000 0.500 0.000
Fe 0.000 0.000 0.000
Ta 0.500 0.500 0.500
H 0.000 0.000 0.500
H 0.500 0.000 0.000